Below is TcTeSe2 after structural relaxation, with properties calculated at the PBE-GGA level.

## Properties
- formation energy from raw total energies (eV per atom) = -0.0281

abc: 6.4932 8.9765 6.3719
angles: 90.00 90.00 90.00
Last column: nearest neighbours and their distance in Å.
Atoms (fractional coordinates):
Te 0.4368 0.9498 0.8913  2 Tc 2.76-2.77, 1 Se 3.04
Te 0.0632 0.4498 0.3913  2 Tc 2.76-2.77, 1 Se 3.04
Te 0.9368 0.5502 0.8913  2 Tc 2.76-2.77, 1 Se 3.04
Te 0.5632 0.0502 0.3913  2 Tc 2.76-2.77, 1 Se 3.04
Tc 0.0511 0.8393 0.9884  4 Se 2.44-2.51
Tc 0.9489 0.1607 0.4884  4 Se 2.44-2.51
Tc 0.4489 0.3393 0.4884  4 Se 2.44-2.51
Tc 0.5511 0.6607 0.9884  4 Se 2.44-2.51
Se 0.4706 0.4091 0.1176  2 Tc 2.45-2.46
Se 0.7817 0.7667 0.2524  2 Tc 2.44-2.51
Se 0.7183 0.2667 0.7524  2 Tc 2.44-2.51
Se 0.5294 0.5909 0.6176  2 Tc 2.45-2.46
Se 0.2183 0.2333 0.7524  2 Tc 2.44-2.51
Se 0.9706 0.0909 0.1176  2 Tc 2.45-2.46
Se 0.2817 0.7333 0.2524  2 Tc 2.44-2.51
Se 0.0294 0.9091 0.6176  2 Tc 2.45-2.46